VASP calculation (GGA-PBE) on a relaxed Rb2BSeF6 crystal.

The calculation puts the formation energy from raw total energies at -2.0906 eV per atom. The calculation puts the density of states at the Fermi level at 1.605 states/eV/atom. For the calculated total energy, the calculation gives -88.5 eV per cell.

It has space group I4/mmm (No. 139), with a = 6.472 Å, b = 6.472 Å, c = 8.610 Å, α = 90.00°, β = 90.00° and γ = 90.00°. The asymmetric unit holds Rb at (0.000, 0.500, 0.250), B at (0.000, 0.000, 0.000), Se at (0.000, 0.000, 0.500), F at (0.000, 0.000, 0.268) and F at (0.165, 0.165, 0.000).